# CaReSe2 | Alexandria via LeMat-Bulk | GGA-PBE | relaxed
data_CaReSe2
_chemical_formula_sum 'Ca3 Re3 Se6'
_symmetry_space_group_name_H-M 'R -3 m'
_symmetry_Int_Tables_number 166
_symmetry_space_group_name_Hall '-R 3 2"'
_cell_length_a 3.7536
_cell_length_b 3.7536
_cell_length_c 25.8028
_cell_angle_alpha 90.00
_cell_angle_beta 90.00
_cell_angle_gamma 120.00
loop_
_atom_site_label
_atom_site_type_symbol
_atom_site_fract_x
_atom_site_fract_y
_atom_site_fract_z
_atom_site_occupancy
Ca1 Ca 0.0000 0.0000 0.0000 1
Re1 Re 0.0000 0.0000 0.5000 1
Se1 Se 0.0000 0.0000 0.1128 1
# - energy relative to the elements, uncorrected (kJ per mole of atoms) = -7.9
# - VASP energy (eV/atom) = -5.44
# - spin magnetization (μB/f.u.) = 1.31
# - DOS(E_F) (states/eV per atom) = 0.60
# - polymorph energy (0 for the lowest one) (meV per atom) = 424.7



# CaReSe2 | Alexandria via LeMat-Bulk | GGA-PBE | relaxed
data_CaReSe2
_chemical_formula_sum 'Ca1 Re1 Se2'
_symmetry_space_group_name_H-M 'P 4/m m m'
_symmetry_Int_Tables_number 123
_symmetry_space_group_name_Hall '-P 4 2'
_cell_length_a 4.785
_cell_length_b 4.785
_cell_length_c 3.262
_cell_angle_alpha 90.00
_cell_angle_beta 90.00
_cell_angle_gamma 90.00
loop_
_atom_site_label
_atom_site_type_symbol
_atom_site_fract_x
_atom_site_fract_y
_atom_site_fract_z
_atom_site_occupancy
Ca1 Ca 0.000 0.000 0.000 1
Re1 Re 0.500 0.500 0.000 1
Se1 Se 0.000 0.500 0.500 1
# - energy relative to the elements, uncorrected (kJ per mole of atoms) = -13.1
# - VASP energy (eV/atom) = -5.49
# - spin magnetization (μB/f.u.) = 1.27
# - DOS(E_F) (states/eV per atom) = 0.90
# - polymorph energy (0 for the lowest one) (meV per atom) = 370.2



# CaReSe2 | Alexandria via LeMat-Bulk | GGA-PBE | relaxed
data_CaReSe2
_chemical_formula_sum 'Ca4 Re4 Se8'
_symmetry_space_group_name_H-M 'I -4 2 d'
_symmetry_Int_Tables_number 122
_symmetry_space_group_name_Hall 'I -4 2bw'
_cell_length_a 5.765
_cell_length_b 5.765
_cell_length_c 13.056
_cell_angle_alpha 90.00
_cell_angle_beta 90.00
_cell_angle_gamma 90.00
loop_
_atom_site_label
_atom_site_type_symbol
_atom_site_fract_x
_atom_site_fract_y
_atom_site_fract_z
_atom_site_occupancy
Ca1 Ca 0.000 0.000 0.000 1
Re1 Re 0.000 0.000 0.500 1
Se1 Se 0.183 0.250 0.625 1
# - energy relative to the elements, uncorrected (kJ per mole of atoms) = -27.7
# - VASP energy (eV/atom) = -5.64
# - spin magnetization (μB/f.u.) = 0.00
# - DOS(E_F) (states/eV per atom) = 0.63
# - polymorph energy (0 for the lowest one) (meV per atom) = 218.9



# CaReSe2 | Alexandria via LeMat-Bulk | GGA-PBE | relaxed
data_CaReSe2
_chemical_formula_sum 'Ca3 Re3 Se6'
_symmetry_space_group_name_H-M 'R -3 m'
_symmetry_Int_Tables_number 166
_symmetry_space_group_name_Hall '-R 3 2"'
_cell_length_a 4.0536
_cell_length_b 4.0536
_cell_length_c 17.3251
_cell_angle_alpha 90.00
_cell_angle_beta 90.00
_cell_angle_gamma 120.00
loop_
_atom_site_label
_atom_site_type_symbol
_atom_site_fract_x
_atom_site_fract_y
_atom_site_fract_z
_atom_site_occupancy
Ca1 Ca 0.0000 0.0000 0.0000 1
Re1 Re 0.0000 0.0000 0.5000 1
Se1 Se 0.0000 0.0000 0.2318 1
# - energy relative to the elements, uncorrected (kJ per mole of atoms) = -48.8
# - VASP energy (eV/atom) = -5.86
# - spin magnetization (μB/f.u.) = 0.79
# - DOS(E_F) (states/eV per atom) = 0.75
# - polymorph energy (0 for the lowest one) (meV per atom) = 0.0



# CaReSe | Alexandria via LeMat-Bulk | GGA-PBE | relaxed
data_CaReSe
_chemical_formula_sum 'Ca2 Re2 Se2'
_symmetry_space_group_name_H-M 'I 4 m m'
_symmetry_Int_Tables_number 107
_symmetry_space_group_name_Hall 'I 4 -2'
_cell_length_a 3.268
_cell_length_b 3.268
_cell_length_c 11.170
_cell_angle_alpha 90.00
_cell_angle_beta 90.00
_cell_angle_gamma 90.00
loop_
_atom_site_label
_atom_site_type_symbol
_atom_site_fract_x
_atom_site_fract_y
_atom_site_fract_z
_atom_site_occupancy
Ca1 Ca 0.000 0.000 0.000 1
Re1 Re 0.000 0.000 0.303 1
Se1 Se 0.000 0.000 0.704 1
# - energy relative to the elements, uncorrected (kJ per mole of atoms) = -0.5
# - VASP energy (eV/atom) = -5.98
# - spin magnetization (μB/f.u.) = 0.00
# - DOS(E_F) (states/eV per atom) = 0.73
# - polymorph energy (0 for the lowest one) (meV per atom) = 0.0



# CaReSe3 | Alexandria via LeMat-Bulk | GGA-PBE | relaxed
data_CaReSe3
_chemical_formula_sum 'Ca1 Re1 Se3'
_symmetry_space_group_name_H-M 'P m -3 m'
_symmetry_Int_Tables_number 221
_symmetry_space_group_name_Hall '-P 4 2 3'
_cell_length_a 5.377
_cell_length_b 5.377
_cell_length_c 5.377
_cell_angle_alpha 90.00
_cell_angle_beta 90.00
_cell_angle_gamma 90.00
loop_
_atom_site_label
_atom_site_type_symbol
_atom_site_fract_x
_atom_site_fract_y
_atom_site_fract_z
_atom_site_occupancy
Ca1 Ca 0.000 0.000 0.000 1
Re1 Re 0.500 0.500 0.500 1
Se1 Se 0.000 0.000 0.500 1
# - energy relative to the elements, uncorrected (kJ per mole of atoms) = 104.7
# - VASP energy (eV/atom) = -3.90
# - spin magnetization (μB/f.u.) = 3.05
# - DOS(E_F) (states/eV per atom) = 0.72
# - polymorph energy (0 for the lowest one) (meV per atom) = 1320.6



# CaReSe2 | Alexandria via LeMat-Bulk | GGA-PBE | relaxed
data_CaReSe2
_chemical_formula_sum 'Ca2 Re2 Se4'
_symmetry_space_group_name_H-M 'I m m m'
_symmetry_Int_Tables_number 71
_symmetry_space_group_name_Hall '-I 2 2'
_cell_length_a 3.880
_cell_length_b 5.701
_cell_length_c 7.851
_cell_angle_alpha 90.00
_cell_angle_beta 90.00
_cell_angle_gamma 90.00
loop_
_atom_site_label
_atom_site_type_symbol
_atom_site_fract_x
_atom_site_fract_y
_atom_site_fract_z
_atom_site_occupancy
Ca1 Ca 0.000 0.000 0.000 1
Re1 Re 0.000 0.000 0.500 1
Se1 Se 0.000 0.500 0.198 1
# - energy relative to the elements, uncorrected (kJ per mole of atoms) = -28.6
# - VASP energy (eV/atom) = -5.65
# - spin magnetization (μB/f.u.) = 0.00
# - DOS(E_F) (states/eV per atom) = 1.20
# - polymorph energy (0 for the lowest one) (meV per atom) = 209.5



# CaRe3Se | Alexandria via LeMat-Bulk | GGA-PBE | relaxed
data_CaRe3Se
_chemical_formula_sum 'Ca1 Re3 Se1'
_symmetry_space_group_name_H-M 'P m -3 m'
_symmetry_Int_Tables_number 221
_symmetry_space_group_name_Hall '-P 4 2 3'
_cell_length_a 4.689
_cell_length_b 4.689
_cell_length_c 4.689
_cell_angle_alpha 90.00
_cell_angle_beta 90.00
_cell_angle_gamma 90.00
loop_
_atom_site_label
_atom_site_type_symbol
_atom_site_fract_x
_atom_site_fract_y
_atom_site_fract_z
_atom_site_occupancy
Ca1 Ca 0.000 0.000 0.000 1
Re1 Re 0.000 0.000 0.500 1
Se1 Se 0.500 0.500 0.500 1
# - energy relative to the elements, uncorrected (kJ per mole of atoms) = 330.1
# - VASP energy (eV/atom) = -5.14
# - spin magnetization (μB/f.u.) = 2.19
# - DOS(E_F) (states/eV per atom) = 1.11
# - polymorph energy (0 for the lowest one) (meV per atom) = 2113.2



# CaReSe2 | Alexandria via LeMat-Bulk | GGA-PBE | relaxed
data_CaReSe2
_chemical_formula_sum 'Ca1 Re1 Se2'
_symmetry_space_group_name_H-M 'P m m 2'
_symmetry_Int_Tables_number 25
_cell_length_a 3.409
_cell_length_b 4.105
_cell_length_c 5.828
_cell_angle_alpha 90.00
_cell_angle_beta 90.00
_cell_angle_gamma 90.00
loop_
_symmetry_equiv_pos_as_xyz
'x,y,z'
'-x,-y,z'
'-x,y,z'
'x,-y,z'
loop_
_atom_site_label
_atom_site_type_symbol
_atom_site_fract_x
_atom_site_fract_y
_atom_site_fract_z
_atom_site_occupancy
Ca1 Ca 0.000 0.000 0.000 1
Re1 Re 0.500 0.500 0.367 1
Se1 Se 0.000 0.000 0.481 1
Se2 Se 0.500 0.500 0.922 1
# - energy relative to the elements, uncorrected (kJ per mole of atoms) = -18.4
# - VASP energy (eV/atom) = -5.55
# - spin magnetization (μB/f.u.) = 0.00
# - DOS(E_F) (states/eV per atom) = 0.86
# - polymorph energy (0 for the lowest one) (meV per atom) = 315.4



# Ca3ReSe | Alexandria via LeMat-Bulk | GGA-PBE | relaxed
data_Ca3ReSe
_chemical_formula_sum 'Ca3 Re1 Se1'
_symmetry_space_group_name_H-M 'P m -3 m'
_symmetry_Int_Tables_number 221
_symmetry_space_group_name_Hall '-P 4 2 3'
_cell_length_a 5.352
_cell_length_b 5.352
_cell_length_c 5.352
_cell_angle_alpha 90.00
_cell_angle_beta 90.00
_cell_angle_gamma 90.00
loop_
_atom_site_label
_atom_site_type_symbol
_atom_site_fract_x
_atom_site_fract_y
_atom_site_fract_z
_atom_site_occupancy
Ca1 Ca 0.000 0.000 0.500 1
Re1 Re 0.000 0.000 0.000 1
Se1 Se 0.500 0.500 0.500 1
# - energy relative to the elements, uncorrected (kJ per mole of atoms) = 32.8
# - VASP energy (eV/atom) = -4.05
# - spin magnetization (μB/f.u.) = 0.00
# - DOS(E_F) (states/eV per atom) = 0.55
# - polymorph energy (0 for the lowest one) (meV per atom) = 0.0



# CaReSe | Alexandria via LeMat-Bulk | GGA-PBE | relaxed
data_CaReSe
_chemical_formula_sum 'Ca1 Re1 Se1'
_symmetry_space_group_name_H-M 'P -6 m 2'
_symmetry_Int_Tables_number 187
_symmetry_space_group_name_Hall 'P -6 2'
_cell_length_a 4.2751
_cell_length_b 4.2751
_cell_length_c 3.9776
_cell_angle_alpha 90.00
_cell_angle_beta 90.00
_cell_angle_gamma 120.00
loop_
_atom_site_label
_atom_site_type_symbol
_atom_site_fract_x
_atom_site_fract_y
_atom_site_fract_z
_atom_site_occupancy
Ca1 Ca 0.0000 0.0000 0.0000 1
Re1 Re 0.6667 0.3333 0.5000 1
Se1 Se 0.3333 0.6667 0.5000 1
# - energy relative to the elements, uncorrected (kJ per mole of atoms) = 10.4
# - VASP energy (eV/atom) = -5.87
# - spin magnetization (μB/f.u.) = 0.00
# - DOS(E_F) (states/eV per atom) = 1.05
# - polymorph energy (0 for the lowest one) (meV per atom) = 112.5



# CaReSe | Alexandria via LeMat-Bulk | GGA-PBE | relaxed
data_CaReSe
_chemical_formula_sum 'Ca4 Re4 Se4'
_symmetry_space_group_name_H-M 'F -4 3 m'
_symmetry_Int_Tables_number 216
_symmetry_space_group_name_Hall 'F -4 2 3'
_cell_length_a 6.319
_cell_length_b 6.319
_cell_length_c 6.319
_cell_angle_alpha 90.00
_cell_angle_beta 90.00
_cell_angle_gamma 90.00
loop_
_atom_site_label
_atom_site_type_symbol
_atom_site_fract_x
_atom_site_fract_y
_atom_site_fract_z
_atom_site_occupancy
Ca1 Ca 0.000 0.000 0.000 1
Re1 Re 0.000 0.000 0.500 1
Se1 Se 0.250 0.250 0.250 1
# - energy relative to the elements, uncorrected (kJ per mole of atoms) = 48.8
# - VASP energy (eV/atom) = -5.47
# - spin magnetization (μB/f.u.) = 1.26
# - DOS(E_F) (states/eV per atom) = 1.04
# - polymorph energy (0 for the lowest one) (meV per atom) = 510.6